Entry 1:
PBE with a Hubbard U CoAu2F, optimized geometry; raw total energy = -13.620 eV/cell; excess energy over the best structure of this formula in the dataset = 33 meV/atom
1.0
-0.467 -4.306 -0.853
-2.448 -2.525 2.667
-3.885 -1.565 -1.394
Au Co F
2 1 1
direct
0.750 0.750 0.750
0.250 0.250 0.250
0.500 0.500 0.500
0.000 0.000 0.000

=====

Entry 2:
PBE with a Hubbard U Co2AuF2, optimized geometry; raw total energy = -39.414 eV/cell; excess energy over the best structure of this formula in the dataset = 431 meV/atom
1.0
7.583 0.000 0.000
0.000 7.583 0.000
0.000 0.000 2.800
Au F Co
2 4 4
direct
0.000 0.000 0.000
0.500 0.500 0.000
0.379 0.121 0.500
0.879 0.379 0.500
0.621 0.879 0.500
0.121 0.621 0.500
0.252 0.752 0.000
0.748 0.248 0.000
0.248 0.252 0.000
0.752 0.748 0.000

=====

Entry 3:
PBE with a Hubbard U CoAu3F, optimized geometry; raw total energy = -13.731 eV/cell; excess energy over the best structure of this formula in the dataset = 0 meV/atom
1.0
4.580 0.000 0.000
0.000 4.580 0.000
0.000 0.000 4.580
Au Co F
3 1 1
direct
0.000 0.500 0.000
0.500 0.000 0.000
0.000 0.000 0.500
0.500 0.500 0.500
0.000 0.000 0.000

=====

Look up the raw total energy of the second one.
-39.414 eV/cell